This record from the Alexandria database describes a relaxed Ba2FeAu crystal. The functional is PBEsol.

```
4
Lattice="4.580 0.000 0.000 0.000 4.580 0.000 0.000 0.000 6.488" Properties=species:S:1:pos:R:3 pbc="T T T"
Ba 0.000 0.000 0.000
Ba 2.290 2.290 3.226
Fe 2.290 2.290 6.463
Au 0.000 0.000 3.246
```

Calculated values
energy of formation	362	meV per atom
total energy	-3.9344	eV per atom
energy above the lowest structure with this stoichiometry	295.5	meV/atom
crystal system	tetragonal
SG	P4mm
D(E_F)	6.89	states/eV/f.u.

=====

This record from the Alexandria database describes a relaxed CoIrCl2 crystal. The functional is PBEsol.

```
4
Lattice="6.042 -1.429 0.000 6.042 1.429 0.000 -0.493 0.000 4.363" Properties=species:S:1:pos:R:3 pbc="T T T"
Co 0.000 0.000 0.000
Ir 5.796 0.000 2.181
Cl 3.918 0.000 3.446
Cl 7.673 0.000 0.917
```

Calculated values
total energy	-5.1475	eV per atom
formation energy (no corrections)	0.247	eV/atom
energy above the lowest structure with this stoichiometry	0.0	meV/atom
crystal system	monoclinic
SG	C2/m
D(E_F)	5.45	states/eV/f.u.

=====

This record from the Alexandria database describes a relaxed Li2AgF6 crystal. The functional is PBEsol.

```
18
Lattice="4.681 0.000 0.000 0.000 4.681 0.000 0.000 0.000 9.074" Properties=species:S:1:pos:R:3 pbc="T T T"
Li 0.000 0.000 1.470
Li 0.000 0.000 7.604
Li 2.340 2.340 3.067
Li 2.340 2.340 6.007
Ag 0.000 0.000 4.537
Ag 2.340 2.340 0.000
F 0.901 0.901 3.045
F 0.901 0.901 6.028
F 0.904 0.904 0.000
F 1.436 3.245 4.537
F 1.440 3.241 1.491
F 1.440 3.241 7.582
F 3.241 1.440 1.491
F 3.241 1.440 7.582
F 3.245 1.436 4.537
F 3.777 3.777 0.000
F 3.780 3.780 3.045
F 3.780 3.780 6.028
```

Calculated values
total energy	-3.9078	eV per atom
formation energy (no corrections)	-1.818	eV/atom
crystal system	tetragonal
SG	P4_2/mnm
D(E_F)	4.40	states/eV/f.u.

=====

This record from the Alexandria database describes a relaxed CrCuRu2 crystal. The functional is PBEsol.

```
4
Lattice="1.362 -2.148 0.000 1.362 2.148 0.000 0.000 0.000 8.715" Properties=species:S:1:pos:R:3 pbc="T T T"
Cr 0.000 0.000 0.000
Cu 1.362 0.000 6.600
Ru 0.000 0.000 4.382
Ru 1.362 0.000 2.065
```

Calculated values
energy of formation	454	meV per atom
total energy	-8.2763	eV per atom
crystal system	orthorhombic
SG	Cmm2
D(E_F)	5.87	states/eV/f.u.

=====

This record from the Alexandria database describes a relaxed Re2PN crystal. The functional is PBEsol.

```
8
Lattice="-2.524 2.524 4.579 2.524 -2.524 4.579 2.524 2.524 -4.579" Properties=species:S:1:pos:R:3 pbc="T T T"
Re 3.786 0.982 -1.145
Re 0.982 1.262 1.145
Re -1.262 1.543 3.434
Re 1.543 1.262 5.724
P 2.524 0.000 2.290
P 0.000 0.000 4.579
N 0.000 0.000 0.000
N 0.000 2.524 2.290
```

Calculated values
total energy	-9.9353	eV per atom
formation energy (no corrections)	0.310	eV/atom
crystal system	tetragonal
SG	I-42d
D(E_F)	3.46	states/eV/f.u.

=====

This record from the Alexandria database describes a relaxed Li2VF6 crystal. The functional is PBEsol.

```
18
Lattice="2.696 -4.550 0.000 2.696 4.550 0.000 0.000 0.000 8.265" Properties=species:S:1:pos:R:3 pbc="T T T"
Li 2.696 4.147 4.133
Li 2.696 2.054 7.869
Li 2.696 -2.054 3.736
Li 2.696 -4.147 0.000
V 2.696 1.099 2.381
V 2.696 -1.099 6.513
F 1.289 1.037 3.611
F 1.453 1.221 1.001
F 2.696 2.912 2.619
F 1.289 -1.037 7.744
F 1.453 -1.221 5.134
F 2.696 0.709 6.524
F 2.696 -0.709 2.391
F 3.939 1.221 1.001
F 4.103 1.037 3.611
F 2.696 -2.912 6.752
F 3.939 -1.221 5.134
F 4.103 -1.037 7.744
```

Calculated values
total energy	-5.7047	eV per atom
formation energy (no corrections)	-2.912	eV/atom
energy above the lowest structure with this stoichiometry	29.5	meV/atom
crystal system	orthorhombic
SG	Cmc2_1
D(E_F)	6.96	states/eV/f.u.

=====

This record from the Alexandria database describes a relaxed RbMnCuS2 crystal. The functional is PBEsol.

```
5
Lattice="-1.955 1.955 6.726 1.955 -1.955 6.726 1.955 1.955 -6.726" Properties=species:S:1:pos:R:3 pbc="T T T"
Rb 0.000 0.000 0.000
Mn 0.000 1.955 3.363
Cu 1.955 0.000 3.363
S 0.000 0.000 4.727
S 0.000 0.000 8.725
```

Calculated values
total energy	-5.4727	eV per atom
formation energy (no corrections)	-0.695	eV/atom
crystal system	tetragonal
SG	I-4m2
D(E_F)	0.29	states/eV/f.u.

=====

This record from the Alexandria database describes a relaxed Be2Nb2Mo crystal. The functional is PBEsol.

```
10
Lattice="6.367 0.000 0.000 0.000 6.367 0.000 0.000 0.000 3.298" Properties=species:S:1:pos:R:3 pbc="T T T"
Be 0.738 2.446 0.000
Be 2.446 5.629 0.000
Be 3.921 0.738 0.000
Be 5.629 3.921 0.000
Nb 1.147 4.330 1.649
Nb 2.036 1.147 1.649
Nb 4.330 5.220 1.649
Nb 5.220 2.036 1.649
Mo 0.000 0.000 0.000
Mo 3.183 3.183 0.000
```

Calculated values
energy of formation	-175	meV per atom
total energy	-8.4569	eV per atom
crystal system	tetragonal
SG	P4/mbm
D(E_F)	3.13	states/eV/f.u.

=====

This record from the Alexandria database describes a relaxed TlReTc crystal. The functional is PBEsol.

```
3
Lattice="0.000 3.066 3.066 3.066 0.000 3.066 3.066 3.066 0.000" Properties=species:S:1:pos:R:3 pbc="T T T"
Tl 0.000 0.000 0.000
Re 4.599 4.599 4.599
Tc 3.066 3.066 3.066
```

Calculated values
energy of formation	1065	meV per atom
total energy	-8.0115	eV per atom
energy above the lowest structure with this stoichiometry	339.8	meV/atom
crystal system	cubic
SG	F-43m
D(E_F)	2.86	states/eV/f.u.

=====

This record from the Alexandria database describes a relaxed MnCrFe2 crystal. The functional is PBEsol.

```
4
Lattice="2.393 0.000 0.000 0.000 3.924 0.000 -0.766 0.000 4.581" Properties=species:S:1:pos:R:3 pbc="T T T"
Mn 0.000 0.000 0.000
Cr 1.672 1.962 1.127
Fe 0.082 1.962 3.419
Fe 0.853 0.000 2.299
```

Calculated values
energy of formation	93	meV per atom
total energy	-9.3893	eV per atom
crystal system	monoclinic
SG	Pm
D(E_F)	4.40	states/eV/f.u.

=====

This record from the Alexandria database describes a relaxed Ag5Sb crystal. The functional is PBEsol.

```
6
Lattice="5.334 -1.534 0.000 5.334 1.534 0.000 -1.944 0.000 6.589" Properties=species:S:1:pos:R:3 pbc="T T T"
Ag 0.000 0.000 0.000
Ag -0.659 0.000 4.055
Ag 2.222 0.000 4.456
Ag 6.356 0.000 2.292
Ag 5.773 0.000 6.124
Sb 3.494 0.000 1.777
```

Calculated values
total energy	-3.4748	eV per atom
formation energy (no corrections)	0.044	eV/atom
energy above the lowest structure with this stoichiometry	31.8	meV/atom
crystal system	monoclinic
SG	Cm
D(E_F)	1.87	states/eV/f.u.

=====

This record from the Alexandria database describes a relaxed SrTiP2 crystal. The functional is PBEsol.

```
4
Lattice="0.000 3.348 3.348 3.348 0.000 3.348 3.348 3.348 0.000" Properties=species:S:1:pos:R:3 pbc="T T T"
Sr 0.000 0.000 0.000
Ti 3.348 3.348 3.348
P 1.674 1.674 1.674
P 5.022 5.022 5.022
```

Calculated values
energy of formation	-401	meV per atom
total energy	-5.8372	eV per atom
crystal system	cubic
SG	Fm-3m
D(E_F)	4.28	states/eV/f.u.